1.
The following is a PBE-GGA calculation of a relaxed LaRhBr crystal, from the Alexandria database.

As for the total moment: 0.0 μB per formula unit. As for the raw formation energy: -0.72 eV per atom. The calculation puts the density at 7.91 Mg/m³. The total energy is -5.368 eV/atom.

The structure belongs to space group P-6m2 (No. 187); the cell edges are 4.5261, 4.5261 and 3.8074 Å and the angles 90.00°, 90.00° and 120.00°. The asymmetric unit holds La at (0.0000, 0.0000, 0.0000), Rh at (0.3333, 0.6667, 0.5000) and Br at (0.6667, 0.3333, 0.5000).

---

2.
The following is a PBE-GGA calculation of a relaxed LaRhBr3 crystal, from the Alexandria database.

As for the total moment: 1.5 μB per formula unit. As for the raw formation energy: -0.46 eV per atom. The calculation puts the density at 4.06 Mg/m³. The total energy is -3.921 eV/atom.

The structure belongs to space group Pm-3m (No. 221); the cell edges are 5.8195, 5.8195 and 5.8195 Å and the angles 90.00°, 90.00° and 90.00°. The asymmetric unit holds La at (0.0000, 0.0000, 0.0000), Rh at (0.5000, 0.5000, 0.5000) and Br at (0.0000, 0.0000, 0.5000).

---

3.
The following is a PBE-GGA calculation of a relaxed La3RhBr crystal, from the Alexandria database.

The calculation puts the distance to the lowest polymorph of the same formula at 0.000 eV/atom. As for the total moment: 0.0 μB per formula unit. As for the raw formation energy: -0.48 eV per atom. The calculation puts the density at 5.54 Mg/m³. The total energy is -5.238 eV/atom.

The structure belongs to space group Pm-3m (No. 221); the cell edges are 5.6434, 5.6434 and 5.6434 Å and the angles 90.00°, 90.00° and 90.00°. The asymmetric unit holds La at (0.0000, 0.0000, 0.5000), Rh at (0.0000, 0.0000, 0.0000) and Br at (0.5000, 0.5000, 0.5000).

---

4.
The following is a PBE-GGA calculation of a relaxed La3RhBr2 crystal, from the Alexandria database.

As for the total moment: 0.5 μB per formula unit. As for the raw formation energy: -1.19 eV per atom. The calculation puts the density at 6.18 Mg/m³. The total energy is -5.433 eV/atom.

The structure belongs to space group Immm (No. 71); the cell edges are 4.0406, 6.2867 and 14.3756 Å and the angles 90.00°, 90.00° and 90.00°. The asymmetric unit holds La at (0.0000, 0.0000, 0.0000), La at (0.0000, 0.0000, 0.3683), Rh at (0.0000, 0.5000, 0.0000) and Br at (0.0000, 0.5000, 0.3213).

---

5.
The following is a PBE-GGA calculation of a relaxed LaRhBr crystal, from the Alexandria database.

As for the total moment: 0.0 μB per formula unit. As for the raw formation energy: -1.30 eV per atom. The calculation puts the density at 5.87 Mg/m³. The total energy is -5.946 eV/atom.

The structure belongs to space group C2/m (No. 12); the cell edges are 7.5889, 4.3816 and 11.2455 Å and the angles 90.00°, 103.18° and 90.00°. The asymmetric unit holds La at (0.0585, 0.0000, 0.1733), Rh at (0.1653, 0.5000, 0.9961) and Br at (0.2173, 0.0000, 0.6567).

---

6.
The following is a PBE-GGA calculation of a relaxed LaRhBr crystal, from the Alexandria database.

As for the total moment: 0.0 μB per formula unit. As for the raw formation energy: -0.67 eV per atom. The calculation puts the density at 6.61 Mg/m³. The total energy is -5.324 eV/atom.

The structure belongs to space group P3m1 (No. 156); the cell edges are 4.1276, 4.1276 and 5.4756 Å and the angles 90.00°, 90.00° and 120.00°. The asymmetric unit holds La at (0.0000, 0.0000, 0.0000), Rh at (0.3333, 0.6667, 0.2276) and Br at (0.6667, 0.3333, 0.5844).

---

7.
The following is a PBE-GGA calculation of a relaxed La3Rh2Br crystal, from the Alexandria database.

As for the total moment: 0.5 μB per formula unit. As for the raw formation energy: -0.77 eV per atom. The calculation puts the density at 6.81 Mg/m³. The total energy is -5.966 eV/atom.

The structure belongs to space group Cmcm (No. 63); the cell edges are 4.2699, 15.9907 and 10.0353 Å and the angles 90.00°, 90.00° and 90.00°. The asymmetric unit holds La at (0.0000, 0.1145, 0.0558), La at (0.0000, 0.3820, 0.2500), Rh at (0.0000, 0.0131, 0.7500), Rh at (0.0000, 0.5000, 0.0000) and Br at (0.0000, 0.2781, 0.7500).

---

8.
The following is a PBE-GGA calculation of a relaxed LaRhBr crystal, from the Alexandria database.

As for the total moment: 0.0 μB per formula unit. As for the raw formation energy: -0.42 eV per atom. The calculation puts the density at 6.38 Mg/m³. The total energy is -5.070 eV/atom.

The structure belongs to space group F-43m (No. 216); the cell edges are 6.9443, 6.9443 and 6.9443 Å and the angles 90.00°, 90.00° and 90.00°. The asymmetric unit holds La at (0.0000, 0.0000, 0.0000), Rh at (0.2500, 0.2500, 0.2500) and Br at (0.2500, 0.2500, 0.7500).

---

9.
The following is a PBE-GGA calculation of a relaxed La6Ru2RhBr3 crystal, from the Alexandria database.

As for the total moment: 0.0 μB per formula unit. As for the raw formation energy: -1.02 eV per atom. The calculation puts the density at 6.39 Mg/m³. The total energy is -6.059 eV/atom.

The structure belongs to space group C2/m (No. 12); the cell edges are 7.2174, 12.5030 and 8.2893 Å and the angles 90.00°, 106.88° and 90.00°. The asymmetric unit holds La at (0.2262, 0.0000, 0.1961), La at (0.2349, 0.3305, 0.1960), Ru at (0.0000, 0.1665, 0.0000), Rh at (0.0000, 0.5000, 0.0000), Br at (0.0000, 0.0000, 0.5000) and Br at (0.0000, 0.3321, 0.5000).

---

10.
The following is a PBE-GGA calculation of a relaxed La8RuRh3Br4 crystal, from the Alexandria database.

As for the total moment: 0.0 μB per formula unit. As for the raw formation energy: -1.13 eV per atom. The calculation puts the density at 6.37 Mg/m³. The total energy is -5.972 eV/atom.

The structure belongs to space group R-3m (No. 166, hexagonal axes); the cell edges are 8.3428, 8.3428 and 23.8807 Å and the angles 90.00°, 90.00° and 120.00°. The asymmetric unit holds La at (0.0000, 0.0000, 0.2316), La at (0.0052, 0.5026, 0.2323), Ru at (0.0000, 0.0000, 0.5000), Rh at (0.0000, 0.5000, 0.5000), Br at (0.0000, 0.0000, 0.0000) and Br at (0.0000, 0.5000, 0.0000).

---

11.
The following is a PBE-GGA calculation of a relaxed La8RuRh3Br3 crystal, from the Alexandria database.

As for the total moment: 0.4 μB per formula unit. As for the raw formation energy: -0.98 eV per atom. The calculation puts the density at 6.13 Mg/m³. The total energy is -6.033 eV/atom.

The structure belongs to space group C2/m (No. 12); the cell edges are 14.4860, 8.3522 and 9.2473 Å and the angles 90.00°, 121.46° and 90.00°. The asymmetric unit holds La at (0.0159, 0.2455, 0.3026), La at (0.2295, 0.0000, 0.6973), La at (0.2318, 0.5000, 0.6949), Ru at (0.0000, 0.0000, 0.5000), Rh at (0.0000, 0.5000, 0.5000), Rh at (0.2500, 0.2500, 0.5000), Br at (0.0000, 0.0000, 0.0000) and Br at (0.2500, 0.2500, 0.0000).

---

12.
The following is a PBE-GGA calculation of a relaxed La6RuRh2Br2 crystal, from the Alexandria database.

As for the total moment: 0.6 μB per formula unit. As for the raw formation energy: -0.90 eV per atom. The calculation puts the density at 6.06 Mg/m³. The total energy is -6.074 eV/atom.

The structure belongs to space group C2/m (No. 12); the cell edges are 7.2365, 12.5730 and 8.1900 Å and the angles 90.00°, 107.16° and 90.00°. The asymmetric unit holds La at (0.2300, 0.1647, 0.1978), La at (0.2395, 0.5000, 0.1970), Ru at (0.0000, 0.0000, 0.0000), Rh at (0.0000, 0.3309, 0.0000) and Br at (0.0000, 0.1655, 0.5000).

---

13.
The following is a PBE-GGA calculation of a relaxed La6RuRh2Br3 crystal, from the Alexandria database.

As for the total moment: 0.0 μB per formula unit. As for the raw formation energy: -1.11 eV per atom. The calculation puts the density at 6.38 Mg/m³. The total energy is -5.990 eV/atom.

The structure belongs to space group C2/m (No. 12); the cell edges are 19.9429, 4.1689 and 9.3044 Å and the angles 90.00°, 111.74° and 90.00°. The asymmetric unit holds La at (0.0100, 0.0000, 0.2171), La at (0.1519, 0.5000, 0.1087), La at (0.1782, 0.5000, 0.5540), Ru at (0.0000, 0.5000, 0.0000), Rh at (0.1677, 0.0000, 0.3358), Br at (0.0000, 0.5000, 0.5000) and Br at (0.1662, 0.0000, 0.8336).

---

14.
The following is a PBE-GGA calculation of a relaxed La8Rh3SBr3 crystal, from the Alexandria database.

As for the total moment: 0.0 μB per formula unit. As for the raw formation energy: -1.14 eV per atom. The calculation puts the density at 6.00 Mg/m³. The total energy is -5.844 eV/atom.

The structure belongs to space group C2/m (No. 12); the cell edges are 14.7272, 8.4986 and 8.9411 Å and the angles 90.00°, 123.23° and 90.00°. The asymmetric unit holds La at (0.0165, 0.2405, 0.2906), La at (0.2346, 0.0000, 0.7032), La at (0.2426, 0.5000, 0.7092), Rh at (0.0000, 0.0000, 0.5000), Rh at (0.2500, 0.2500, 0.5000), S at (0.0000, 0.5000, 0.5000), Br at (0.0000, 0.5000, 0.0000) and Br at (0.2500, 0.2500, 0.0000).

---

15.
The following is a PBE-GGA calculation of a relaxed La8Rh3SBr4 crystal, from the Alexandria database.

As for the total moment: 0.0 μB per formula unit. As for the raw formation energy: -1.28 eV per atom. The calculation puts the density at 6.16 Mg/m³. The total energy is -5.796 eV/atom.

The structure belongs to space group R-3m (No. 166, hexagonal axes); the cell edges are 8.4221, 8.4221 and 23.3149 Å and the angles 90.00°, 90.00° and 120.00°. The asymmetric unit holds La at (0.0000, 0.0000, 0.2326), La at (0.0071, 0.5035, 0.7658), Rh at (0.0000, 0.5000, 0.5000), S at (0.0000, 0.0000, 0.5000), Br at (0.0000, 0.0000, 0.0000) and Br at (0.0000, 0.5000, 0.0000).

---

16.
The following is a PBE-GGA calculation of a relaxed LaRhSeBr2 crystal, from the Alexandria database.

The calculation puts the distance to the lowest polymorph of the same formula at 0.000 eV/atom. As for the total moment: 0.2 μB per formula unit. As for the raw formation energy: -0.77 eV per atom. The calculation puts the density at 6.32 Mg/m³. The total energy is -4.592 eV/atom.

The structure belongs to space group P4/mmm (No. 123); the cell edges are 4.9881, 4.9881 and 5.0754 Å and the angles 90.00°, 90.00° and 90.00°. The asymmetric unit holds La at (0.0000, 0.0000, 0.0000), Rh at (0.5000, 0.5000, 0.5000), Se at (0.5000, 0.5000, 0.0000) and Br at (0.0000, 0.5000, 0.5000).

---

17.
The following is a PBE-GGA calculation of a relaxed LaRhSeBr2 crystal, from the Alexandria database.

The calculation puts the distance to the lowest polymorph of the same formula at 0.451 eV/atom. As for the total moment: 2.0 μB per formula unit. As for the raw formation energy: -0.32 eV per atom. The calculation puts the density at 4.10 Mg/m³. The total energy is -4.141 eV/atom.

The structure belongs to space group P4/mmm (No. 123); the cell edges are 5.7909, 5.7909 and 5.8065 Å and the angles 90.00°, 90.00° and 90.00°. The asymmetric unit holds La at (0.0000, 0.0000, 0.0000), Rh at (0.5000, 0.5000, 0.5000), Se at (0.0000, 0.0000, 0.5000) and Br at (0.0000, 0.5000, 0.0000).

---

18.
The following is a PBE-GGA calculation of a relaxed La4RhSe2Br crystal, from the Alexandria database.

As for the total moment: 0.0 μB per formula unit. As for the raw formation energy: -1.50 eV per atom. The calculation puts the density at 6.54 Mg/m³. The total energy is -5.967 eV/atom.

The structure belongs to space group P2/m (No. 10); the cell edges are 7.5572, 4.2063 and 7.5757 Å and the angles 90.00°, 109.03° and 90.00°. The asymmetric unit holds La at (0.2255, 0.0000, 0.2332), La at (0.2379, 0.5000, 0.7411), Rh at (0.0000, 0.5000, 0.0000), Se at (0.0000, 0.0000, 0.5000), Se at (0.5000, 0.5000, 0.5000) and Br at (0.5000, 0.0000, 0.0000).

---

19.
The following is a PBE-GGA calculation of a relaxed La8Rh3SeBr4 crystal, from the Alexandria database.

As for the total moment: 0.0 μB per formula unit. As for the raw formation energy: -1.26 eV per atom. The calculation puts the density at 6.21 Mg/m³. The total energy is -5.733 eV/atom.

The structure belongs to space group R-3m (No. 166, hexagonal axes); the cell edges are 8.5154, 8.5154 and 23.2247 Å and the angles 90.00°, 90.00° and 120.00°. The asymmetric unit holds La at (0.0000, 0.0000, 0.2325), La at (0.0156, 0.5078, 0.7650), Rh at (0.0000, 0.5000, 0.5000), Se at (0.0000, 0.0000, 0.5000), Br at (0.0000, 0.0000, 0.0000) and Br at (0.0000, 0.5000, 0.0000).

---

20.
The following is a PBE-GGA calculation of a relaxed La2SiRhBr crystal, from the Alexandria database.

As for the total moment: 0.0 μB per formula unit. As for the raw formation energy: -0.25 eV per atom. The calculation puts the density at 5.56 Mg/m³. The total energy is -5.115 eV/atom.

The structure belongs to space group P4/mmm (No. 123); the cell edges are 5.5444, 5.5444 and 4.7518 Å and the angles 90.00°, 90.00° and 90.00°. The asymmetric unit holds La at (0.0000, 0.5000, 0.0000), Si at (0.0000, 0.0000, 0.5000), Rh at (0.5000, 0.5000, 0.0000) and Br at (0.5000, 0.5000, 0.5000).